DFT (GGA-PBE) results for crystalline PaSnAs at its relaxed geometry.

Results
VASP energy: -6.15 eV per atom
total magnetization: 0.57 μB per formula unit

Cell: 6.8036 6.8036 6.8036 Å, 90.00 90.00 90.00°
Closest atoms and distances in Å follow each position.
Space group F-43m (No. 216)
One atom of each set of equivalent atoms:
Pa  0.0000  0.0000  0.0000 [4 per cell]  4 As 2.95
Sn  0.0000  0.0000  0.5000 [4 per cell]  4 As 2.95
As  0.2500  0.2500  0.2500 [4 per cell]  4 Sn 2.95, 4 Pa 2.95

DFT (GGA-PBE) results for crystalline SrPaAs2 at its relaxed geometry.

Results
VASP energy: -6.25 eV per atom
total magnetization: 0.67 μB per formula unit

Cell: 4.2460 4.2460 21.3875 Å, 90.00 90.00 120.00°
Closest atoms and distances in Å follow each position.
Space group R-3m (No. 166, hexagonal axes)
One atom of each set of equivalent atoms:
Sr  0.0000  0.0000  0.0000 [3 per cell]  6 As 3.17
Pa  0.0000  0.0000  0.5000 [3 per cell]  6 As 2.91
As  0.0000  0.0000  0.2396 [6 per cell]  3 Pa 2.91, 3 Sr 3.17

DFT (GGA-PBE) results for crystalline Tb3PaAs4 at its relaxed geometry.

Results
VASP energy: -6.67 eV per atom
total magnetization: 0.06 μB per formula unit

Cell: 8.2350 11.6423 4.1267 Å, 90.00 90.00 90.00°
Closest atoms and distances in Å follow each position.
Space group Cmmm (No. 65)
One atom of each set of equivalent atoms:
Tb  0.0000  0.0000  0.0000 [2 per cell]  6 As 2.93-2.95
Tb  0.2500  0.2500  0.5000 [4 per cell]  6 As 2.91
Pa  0.0000  0.5000  0.0000 [2 per cell]  6 As 2.87-2.90
As  0.0000  0.2531  0.0000 [4 per cell]  1 Pa 2.87, 5 Tb 2.91-2.95
As  0.2468  0.5000  0.5000 [4 per cell]  2 Pa 2.90, 4 Tb 2.91-2.93